Density functional theory data (GGA-PBE) for PaAgOsO6 after structural relaxation.

It has space group P-31c (No. 163), with a = 5.5629 Å, b = 5.5629 Å, c = 9.6511 Å, α = 90.00°, β = 90.00° and γ = 120.00°. Symmetry generates all atoms from Pa at (0.3333, 0.6667, 0.2500), Ag at (0.0000, 0.0000, 0.0000), Os at (0.3333, 0.6667, 0.7500) and O at (0.0299, 0.3816, 0.6394).

The calculation puts the total energy at -7.67 eV per atom. Its energy relative to the elements, uncorrected is -1745 meV/atom. The calculation puts the size of the total moment at 3.42 μB/cell.